[1]
La9TbIn2 | Alexandria | PBE-GGA | optimized geometry; magnetic moment = 0.000 μB per atom; calculated formation energy = -0.19 eV/atom; E_tot = -4.73 eV per atom
1.0
-0.202 1.924 -4.716
-1.585 -4.509 -1.772
-14.703 4.240 2.360
La In Tb
9 2 1
Direct
0.500 0.000 0.500
0.500 0.000 0.828
0.500 0.500 0.000
0.000 0.500 0.828
0.500 0.000 0.172
0.000 0.500 0.500
0.500 0.500 0.337
0.500 0.500 0.663
0.000 0.500 0.172
0.000 0.000 0.337
0.000 0.000 0.663
0.000 0.000 0.000

[2]
La3Tb2In2 | Alexandria | PBE-GGA | optimized geometry; magnetic moment = 0.006 μB per atom; calculated formation energy = -0.10 eV/atom; E_tot = -4.31 eV per atom
1.0
-1.361 -2.807 1.177
4.647 -1.052 2.866
-6.445 6.206 7.343
La Tb In
3 2 2
Direct
0.000 0.000 0.000
0.000 0.284 0.567
0.000 0.716 0.433
0.000 0.575 0.150
0.000 0.425 0.850
0.500 0.858 0.715
0.500 0.142 0.285

[3]
La3Tb4In2 | Alexandria | PBE-GGA | optimized geometry; magnetic moment = 0.000 μB per atom; calculated formation energy = -0.12 eV/atom; E_tot = -4.43 eV per atom
1.0
6.494 0.097 0.069
0.479 9.353 -1.710
0.479 1.395 9.406
La In Tb
6 4 8
Direct
0.088 0.964 0.822
0.412 0.178 0.036
0.912 0.036 0.178
0.250 0.536 0.464
0.588 0.822 0.964
0.750 0.464 0.536
0.464 0.779 0.639
0.536 0.221 0.361
0.964 0.639 0.779
0.036 0.361 0.221
0.412 0.482 0.824
0.081 0.670 0.108
0.581 0.108 0.670
0.588 0.518 0.176
0.419 0.892 0.330
0.919 0.330 0.892
0.912 0.824 0.482
0.088 0.176 0.518

[4]
LaTb8In6 | Alexandria | PBE-GGA | optimized geometry; magnetic moment = 0.000 μB per atom; calculated formation energy = -0.22 eV/atom; E_tot = -4.11 eV per atom
1.0
9.156 0.000 0.000
4.578 7.930 0.000
4.578 2.643 6.486
Tb In La
8 6 1
Direct
0.558 0.217 0.340
0.115 0.442 0.660
0.783 0.115 0.660
0.668 0.668 0.995
0.217 0.885 0.340
0.442 0.783 0.660
0.332 0.332 0.005
0.885 0.558 0.340
0.059 0.716 0.824
0.941 0.284 0.176
0.716 0.401 0.824
0.599 0.941 0.176
0.401 0.059 0.824
0.284 0.599 0.176
0.000 0.000 0.000

[5]
La5Tb3In | Alexandria | PBE-GGA | optimized geometry; magnetic moment = 0.000 μB per atom; calculated formation energy = 0.31 eV/atom; E_tot = -4.27 eV per atom
1.0
7.864 0.924 -0.934
3.042 7.311 -0.934
2.165 1.635 11.372
La In Tb
10 2 6
Direct
0.346 0.895 0.251
0.654 0.105 0.749
0.330 0.670 0.000
0.763 0.763 0.035
0.514 0.514 0.622
0.670 0.330 0.000
0.105 0.654 0.749
0.486 0.486 0.378
0.237 0.237 0.965
0.895 0.346 0.251
0.902 0.902 0.258
0.098 0.098 0.742
0.252 0.252 0.525
0.329 0.329 0.220
0.000 0.000 0.500
0.748 0.748 0.475
0.671 0.671 0.780
0.000 0.000 0.000

[6]
La6TbIn | Alexandria | PBE-GGA | optimized geometry; magnetic moment = 0.048 μB per atom; calculated formation energy = 0.13 eV/atom; relative energy among the computed polymorphs = 25.2 kJ per mole of atoms; E_tot = -4.49 eV per atom
1.0
-7.052 1.857 0.831
2.400 -6.537 2.318
3.727 4.860 3.741
La Tb In
6 1 1
Direct
0.448 0.993 0.241
0.993 0.448 0.241
0.552 0.007 0.759
0.752 0.752 0.242
0.007 0.552 0.759
0.248 0.248 0.758
0.500 0.500 0.500
0.000 0.000 0.000

[7]
La2Tb8In | Alexandria | PBE-GGA | optimized geometry; magnetic moment = 0.000 μB per atom; calculated formation energy = -0.05 eV/atom; E_tot = -4.57 eV per atom
1.0
5.003 0.000 0.000
0.000 7.929 0.473
-2.502 -2.891 8.641
Tb La In
8 2 1
Direct
0.957 0.274 0.914
0.133 0.172 0.267
0.867 0.828 0.733
0.679 0.907 0.358
0.588 0.441 0.176
0.043 0.726 0.086
0.321 0.093 0.642
0.412 0.559 0.824
0.221 0.633 0.442
0.779 0.367 0.558
0.500 0.000 0.000

[8]
LaTb3In2 | Alexandria | PBE-GGA | optimized geometry; magnetic moment = 0.005 μB per atom; calculated formation energy = -0.26 eV/atom; relative energy among the computed polymorphs = 8.6 kJ per mole of atoms; E_tot = -4.31 eV per atom
1.0
-2.545 -4.712 0.951
8.092 -0.277 4.721
-7.537 4.629 2.771
La In Tb
2 4 6
Direct
0.869 0.737 0.910
0.131 0.263 0.090
0.516 0.033 0.866
0.484 0.967 0.134
0.774 0.548 0.142
0.226 0.452 0.858
0.616 0.232 0.690
0.306 0.612 0.607
0.694 0.388 0.393
0.384 0.768 0.310
0.939 0.879 0.593
0.061 0.121 0.407

[9]
La8Tb2In | Alexandria | PBE-GGA | optimized geometry; magnetic moment = 0.000 μB per atom; calculated formation energy = -0.08 eV/atom; relative energy among the computed polymorphs = 0.0 kJ per mole of atoms; E_tot = -4.75 eV per atom
1.0
4.892 0.000 -1.406
-0.799 7.726 -2.780
0.126 0.768 9.653
Tb La In
2 8 1
Direct
0.227 0.634 0.453
0.773 0.366 0.547
0.325 0.091 0.649
0.675 0.909 0.351
0.591 0.449 0.182
0.045 0.735 0.090
0.136 0.178 0.272
0.409 0.551 0.818
0.955 0.265 0.910
0.864 0.822 0.728
0.500 0.000 0.000

[10]
La2Tb3In2 | Alexandria | PBE-GGA | optimized geometry; magnetic moment = 0.000 μB per atom; calculated formation energy = -0.29 eV/atom; relative energy among the computed polymorphs = 0.0 kJ per mole of atoms; E_tot = -4.46 eV per atom
1.0
4.438 0.000 -1.296
-1.819 4.870 -6.227
2.481 -5.579 16.742
In La Tb
2 2 3
Direct
0.576 0.542 0.153
0.424 0.458 0.847
0.865 0.532 0.731
0.135 0.468 0.269
0.000 0.500 0.000
0.728 0.557 0.456
0.272 0.443 0.544

[11]
La15Tb4In | Alexandria | PBE-GGA | optimized geometry; magnetic moment = 0.000 μB per atom; calculated formation energy = -0.05 eV/atom; E_tot = -4.80 eV per atom
1.0
5.174 0.000 0.000
0.000 5.174 0.000
0.000 0.000 26.064
La Tb In
15 4 1
Direct
0.500 0.500 0.601
0.500 0.500 0.801
0.500 0.000 0.097
0.500 0.000 0.500
0.500 0.500 0.000
0.500 0.000 0.701
0.000 0.500 0.701
0.500 0.000 0.299
0.500 0.500 0.199
0.000 0.500 0.903
0.000 0.500 0.500
0.000 0.500 0.097
0.500 0.500 0.399
0.000 0.500 0.299
0.500 0.000 0.903
0.000 0.000 0.600
0.000 0.000 0.400
0.000 0.000 0.198
0.000 0.000 0.802
0.000 0.000 0.000

[12]
LaTb4In2 | Alexandria | PBE-GGA | optimized geometry; magnetic moment = 0.001 μB per atom; calculated formation energy = -0.19 eV/atom; relative energy among the computed polymorphs = 0.0 kJ per mole of atoms; E_tot = -4.33 eV per atom
1.0
-0.574 -0.456 -5.098
9.248 0.710 -1.105
0.801 -9.277 0.739
Tb In La
8 4 2
Direct
0.000 0.103 0.354
0.000 0.897 0.646
0.500 0.146 0.603
0.000 0.646 0.897
0.500 0.397 0.854
0.500 0.854 0.397
0.000 0.354 0.103
0.500 0.603 0.146
0.500 0.704 0.704
0.000 0.796 0.204
0.500 0.296 0.296
0.000 0.204 0.796
0.000 0.500 0.500
0.500 0.000 0.000

[13]
La8Tb6In | Alexandria | PBE-GGA | optimized geometry; magnetic moment = 0.000 μB per atom; calculated formation energy = 0.06 eV/atom; E_tot = -4.60 eV per atom
1.0
6.764 0.000 0.000
0.000 8.093 -4.672
0.000 0.000 9.345
Tb La In
6 8 1
Direct
0.348 0.558 0.658
0.652 0.442 0.342
0.348 0.101 0.442
0.652 0.899 0.558
0.652 0.658 0.101
0.348 0.342 0.899
0.126 0.667 0.333
0.173 0.951 0.720
0.827 0.231 0.951
0.827 0.720 0.769
0.173 0.280 0.231
0.173 0.769 0.049
0.827 0.049 0.280
0.874 0.333 0.667
0.500 0.000 0.000

[14]
La2TbIn3Te6 | Alexandria | PBE-GGA | optimized geometry; magnetic moment = 0.000 μB per atom; E_form (uncorrected) = -1.03 eV/atom; E_tot = -4.50 eV per atom
1.0
-7.055 -0.373 -3.528
6.535 -1.802 -4.050
-0.553 -7.015 4.796
Te La Tb In
6 2 1 3
Direct
0.925 0.603 0.776
0.603 0.925 0.776
0.075 0.397 0.224
0.397 0.075 0.224
0.247 0.247 0.773
0.753 0.753 0.227
0.666 0.334 0.000
0.334 0.666 0.000
0.000 0.000 0.000
0.500 0.500 0.500
0.168 0.832 0.500
0.832 0.168 0.500

[15]
LaTb2In3Te6 | Alexandria | PBE-GGA | optimized geometry; magnetic moment = 0.000 μB per atom; E_form (uncorrected) = -1.00 eV/atom; E_tot = -4.44 eV per atom
1.0
-6.805 1.619 -3.408
0.677 -6.284 4.538
-0.133 5.971 6.064
Te In Tb La
6 3 2 1
Direct
0.582 0.925 0.777
0.418 0.075 0.223
0.730 0.730 0.220
0.925 0.582 0.777
0.270 0.270 0.780
0.075 0.418 0.223
0.164 0.836 0.500
0.836 0.164 0.500
0.500 0.500 0.500
0.667 0.333 0.000
0.333 0.667 0.000
0.000 0.000 0.000

[16]
LaTbTlIn | Alexandria | PBE-GGA | optimized geometry; magnetic moment = 0.000 μB per atom; calculated formation energy = -0.44 eV/atom; E_tot = -4.11 eV per atom
1.0
-2.977 -1.376 -4.408
2.457 -2.182 -4.403
-0.784 -5.294 -1.242
La Tl In Tb
1 1 1 1
Direct
0.750 0.750 0.750
0.000 0.000 0.000
0.500 0.500 0.500
0.250 0.250 0.250

[17]
LaTbTmIn | Alexandria | PBE-GGA | optimized geometry; magnetic moment = 0.153 μB per atom; calculated formation energy = -0.08 eV/atom; relative energy among the computed polymorphs = 7.8 kJ per mole of atoms; E_tot = -4.27 eV per atom
1.0
-4.928 1.403 1.925
0.743 -3.296 4.306
3.694 3.875 -1.150
In Tm Tb La
1 1 1 1
Direct
0.250 0.750 0.500
0.500 0.500 0.000
0.000 0.000 0.000
0.750 0.250 0.500

[18]
LaTb2TmIn4 | Alexandria | PBE-GGA | optimized geometry; magnetic moment = 0.000 μB per atom; calculated formation energy = -0.46 eV/atom; E_tot = -4.16 eV per atom
1.0
5.377 0.000 0.000
2.688 4.656 0.000
2.688 1.552 8.838
La Tb In Tm
1 2 4 1
Direct
0.000 0.000 0.000
0.751 0.751 0.747
0.249 0.249 0.253
0.378 0.378 0.866
0.127 0.127 0.618
0.622 0.622 0.134
0.873 0.873 0.382
0.500 0.500 0.500

[19]
La2TbTmIn2 | Alexandria | PBE-GGA | optimized geometry; magnetic moment = 0.000 μB per atom; calculated formation energy = -0.36 eV/atom; E_tot = -4.43 eV per atom
1.0
5.144 0.000 0.000
0.000 6.900 0.000
0.000 0.000 10.226
In La Tb Tm
4 4 2 2
Direct
0.500 0.720 0.613
0.000 0.298 0.848
0.500 0.220 0.387
0.000 0.798 0.152
0.000 0.312 0.180
0.000 0.812 0.820
0.500 0.585 0.941
0.500 0.085 0.059
0.000 0.457 0.541
0.000 0.957 0.459
0.500 0.174 0.690
0.500 0.674 0.310

[20]
LaTbTmIn | Alexandria | PBE-GGA | optimized geometry; magnetic moment = 0.209 μB per atom; calculated formation energy = -0.16 eV/atom; relative energy among the computed polymorphs = 0.0 kJ per mole of atoms; E_tot = -4.35 eV per atom
1.0
5.536 0.000 0.000
2.768 4.794 0.000
2.768 1.598 4.520
Tb In La Tm
1 1 1 1
Direct
0.500 0.500 0.500
0.250 0.250 0.250
0.000 0.000 0.000
0.750 0.750 0.750